Hf3CuH: optimized geometry, PBE.

## Properties
**V**: 16.308 Å³ per atom
**Energy**: -7.606 eV/atom

a = 3.224 Å, b = 5.561 Å, c = 9.511 Å
α = 92.96°, β = 90.01°, γ = 106.74°
Space group P-1 (No. 2)
Symmetry-distinct sites (fractional):
Hf1 0.102 0.207 0.395 [2 per cell]
Hf2 0.349 0.699 0.890 [2 per cell]
Hf3 0.368 0.735 0.309 [2 per cell]
Cu1 0.064 0.128 0.893 [2 per cell]
H1 0.282 0.562 0.686 [2 per cell]